[1]
# TlAs2W

A geometry-optimized TlAs2W structure (PBE, Alexandria via LeMat-Bulk).

Values from the calculation:
DOS at the Fermi energy ... 0.794 states/eV per atom
Energy relative to the lowest polymorph listed for this composition ... 190.0 meV per atom
Space-group type ... Cm
E ... -5.90 eV per atom

The structure in POSCAR format:
```
TlAs2W
1.0
-3.534 -2.184 2.190
-0.571 -3.508 3.070
-0.536 2.791 5.999
Tl As W
1 2 1
direct
0.583 0.583 0.496
0.927 0.927 0.119
0.770 0.770 0.795
0.221 0.221 0.089
```

---

[2]
# TlAs2W

A geometry-optimized TlAs2W structure (PBE, Alexandria via LeMat-Bulk).

Values from the calculation:
DOS at the Fermi energy ... 0.676 states/eV per atom
Energy relative to the lowest polymorph listed for this composition ... 250.2 meV per atom
Space-group type ... P4mm
E ... -5.84 eV per atom

The structure in POSCAR format:
```
TlAs2W
1.0
-1.635 -1.176 2.554
2.762 -1.217 1.207
1.485 7.932 4.602
Tl As W
1 2 1
direct
0.000 0.000 0.495
0.000 0.000 0.835
0.500 0.500 0.211
0.500 0.500 0.958
```